[1]
Compound: In12Si3Ge5
Source: Alexandria
Functional: PBE-GGA
Structure: relaxed

a = 14.151 Å, b = 14.151 Å, c = 14.151 Å
α = 109.47°, β = 109.47°, γ = 109.47°
Positions (direct):
Si  0.750  0.375  0.125
Si  0.875  0.750  0.125
Si  0.375  0.750  0.625
Si  0.250  0.125  0.375
Si  0.875  0.125  0.250
Si  0.375  0.625  0.250
Si  0.625  0.375  0.750
Si  0.125  0.875  0.750
Si  0.750  0.875  0.625
Si  0.625  0.250  0.375
Si  0.125  0.250  0.875
Si  0.250  0.625  0.875
Ge  0.125  0.375  0.250
Ge  0.000  0.500  0.000
Ge  0.000  0.000  0.000
Ge  0.375  0.250  0.125
Ge  0.500  0.000  0.500
Ge  0.500  0.500  0.000
Ge  0.125  0.750  0.375
Ge  0.750  0.125  0.875
Ge  0.750  0.625  0.375
Ge  0.375  0.125  0.750
Ge  0.625  0.875  0.250
Ge  0.500  0.500  0.500
Ge  0.500  0.000  0.000
Ge  0.000  0.000  0.500
Ge  0.250  0.375  0.625
Ge  0.250  0.875  0.125
Ge  0.000  0.500  0.500
Ge  0.875  0.250  0.625
Ge  0.625  0.750  0.875
Ge  0.875  0.625  0.750
In  0.731  0.131  0.059
In  0.328  0.559  0.428
In  0.941  0.369  0.269
In  0.559  0.231  0.131
In  0.600  0.731  0.672
In  0.941  0.572  0.172
In  0.328  0.769  0.400
In  0.072  0.900  0.131
In  0.572  0.941  0.672
In  0.731  0.600  0.172
In  0.769  0.441  0.369
In  0.828  0.928  0.059
In  0.131  0.731  0.559
In  0.369  0.428  0.100
In  0.100  0.928  0.369
In  0.400  0.131  0.572
In  0.100  0.172  0.231
In  0.441  0.672  0.072
In  0.828  0.900  0.269
In  0.131  0.400  0.072
In  0.369  0.941  0.769
In  0.572  0.631  0.400
In  0.928  0.828  0.559
In  0.769  0.328  0.900
In  0.428  0.369  0.600
In  0.072  0.172  0.441
In  0.231  0.672  0.100
In  0.172  0.100  0.731
In  0.631  0.059  0.231
In  0.869  0.600  0.928
In  0.559  0.328  0.928
In  0.600  0.869  0.428
In  0.900  0.828  0.769
In  0.900  0.072  0.631
In  0.869  0.269  0.441
In  0.172  0.072  0.941
In  0.631  0.572  0.900
In  0.428  0.059  0.328
In  0.269  0.400  0.828
In  0.231  0.559  0.631
In  0.928  0.100  0.869
In  0.672  0.231  0.600
In  0.441  0.769  0.869
In  0.059  0.428  0.828
In  0.400  0.269  0.328
In  0.059  0.631  0.731
In  0.672  0.441  0.572
In  0.269  0.869  0.941

Results
Formation energy (no corrections) = 0.265 eV/atom
DOS at the Fermi energy = 8.79 states/eV/f.u.
VASP energy = -3.346 eV/atom

[2]
Compound: CrCdI4
Source: Alexandria
Functional: PBE-GGA
Structure: relaxed

a = 4.264 Å, b = 7.475 Å, c = 7.271 Å
α = 96.93°, β = 90.00°, γ = 90.00°
Site moments in Bohr magnetons follow the coordinates.
Positions (direct):
Cr  0.500  0.000  0.500  3.67
Cd  0.000  0.000  0.000  0.02
I  0.000  0.221  0.686  -0.03
I  0.500  0.774  0.784  -0.02
I  0.500  0.226  0.216  -0.02
I  0.000  0.779  0.314  -0.03

Results
Formation energy (no corrections) = -0.410 eV/atom
DOS at the Fermi energy = 4.27 states/eV/f.u.
VASP energy = -3.200 eV/atom